Nd2HoGa3Ir4: relaxed, PBE.

Cell lengths 4.263, 4.263, 11.103 Å; angles 90.00, 90.00, 90.00 degrees
Sites, in units of the cell vectors:
Nd1 0.500 0.000 0.223
Nd2 0.000 0.500 0.777
Ga1 0.000 0.000 0.500
Ga2 0.500 0.000 0.882
Ga3 0.000 0.500 0.118
Ir1 0.000 0.500 0.345
Ir2 0.500 0.000 0.655
Ir3 0.000 0.000 0.000
Ir4 0.500 0.500 0.000
Ho1 0.500 0.500 0.500

Computed properties:
For the total magnetic moment, the calculation gives 0.000 μB per cell. The calculation puts the calculated formation energy at -0.709 eV/atom. As for the raw total energy: -6.57 eV/atom.

GeTe2Se2: relaxed, PBE.

Cell lengths 4.106, 4.106, 10.154 Å; angles 78.33, 78.33, 90.00 degrees
Sites, in units of the cell vectors:
Se1 0.562 0.562 0.876
Se2 0.438 0.438 0.124
Te1 0.750 0.250 0.500
Te2 0.250 0.750 0.500
Ge1 0.000 0.000 0.000

Computed properties:
For the total magnetic moment, the calculation gives 0.000 μB per cell. As for the raw total energy: -3.36 eV/atom. The calculation puts the energy above the most stable polymorph in this dataset at 0 meV/atom.

RbClF: relaxed, PBE.

Cell lengths 4.634, 4.690, 4.690 Å; angles 120.00, 90.00, 90.00 degrees
Sites, in units of the cell vectors:
F1 0.211 0.667 0.333
Rb1 0.141 0.000 0.000
Cl1 0.648 0.333 0.667

Computed properties:
For the total magnetic moment, the calculation gives 1.001 μB per cell. As for the raw total energy: -2.90 eV/atom.

Tb2ScNi2: relaxed, PBE.

Cell lengths 3.687, 6.418, 9.577 Å; angles 82.01, 78.90, 73.31 degrees
Sites, in units of the cell vectors:
Ni1 0.002 0.876 0.120
Ni2 0.998 0.124 0.880
Ni3 0.881 0.688 0.551
Ni4 0.119 0.312 0.449
Tb1 0.460 0.390 0.691
Tb2 0.540 0.610 0.309
Tb3 0.663 0.751 0.922
Tb4 0.337 0.249 0.078
Sc1 0.791 0.054 0.365
Sc2 0.209 0.946 0.635

Computed properties:
For the total magnetic moment, the calculation gives 0.000 μB per cell. The calculation puts the calculated formation energy at -0.373 eV/atom. As for the raw total energy: -5.80 eV/atom.